# 1
Entry from Alexandria: crystalline Pu2Tl3AuSe6 at its relaxed geometry (GGA-PBE).

final energy: -0.4232 Ry/atom

abc: 6.963 12.940 8.003
angles: 90.00 105.73 90.00
Space group C2/m (No. 12)
One atom of each set of equivalent atoms:
Pu 0.000 0.166 0.000 (multiplicity 4)
Tl 0.000 0.000 0.500 (multiplicity 2)
Tl 0.000 0.344 0.500 (multiplicity 4)
Au 0.000 0.500 0.000 (multiplicity 2)
Se 0.245 0.000 0.181 (multiplicity 4)
Se 0.245 0.187 0.779 (multiplicity 8)

# 2
Entry from Alexandria: crystalline Tb2Er5TmTh at its relaxed geometry (GGA-PBE).

ΔH_f (0 K): 0.320 eV/atom

abc: 8.724 8.724 14.868
angles: 90.00 90.00 90.00
Space group I4/mcm (No. 140)
One atom of each set of equivalent atoms:
Tb 0.114 0.386 0.000 (multiplicity 8)
Er 0.000 0.000 0.000 (multiplicity 4)
Er 0.210 0.290 0.363 (multiplicity 16)
Tm 0.000 0.500 0.250 (multiplicity 4)
Th 0.000 0.000 0.250 (multiplicity 4)

Number 1: total moment 0.66 μB per atom. Number 2: total moment 0.00 μB per atom.